No. 1
## EuPuAl (GGA-PBE)

Data for a geometry-optimized EuPuAl structure.

```
data_EuPuAl
_chemical_formula_sum 'Eu2 Pu2 Al2'
_cell_length_a 3.6606
_cell_length_b 3.6606
_cell_length_c 12.4364
_cell_angle_alpha 90.00
_cell_angle_beta 90.00
_cell_angle_gamma 90.00
_space_group_name_H-M_alt 'I 4 m m'
_space_group_IT_number 107
_space_group_name_Hall 'I 4 -2'
loop_
_atom_site_label
_atom_site_fract_x
_atom_site_fract_y
_atom_site_fract_z
_atom_site_occupancy
Eu1 0.0000 0.0000 0.0000 1
Pu1 0.0000 0.0000 0.2934 1
Al1 0.0000 0.0000 0.6572 1
```

Results
Energy of formation from the pure elements ... -0.01 eV/atom

---

No. 2
## EuPuAl4 (GGA-PBE)

Data for a geometry-optimized EuPuAl4 structure.

```
data_EuPuAl4
_chemical_formula_sum 'Eu4 Pu4 Al16'
_cell_length_a 7.9499
_cell_length_b 7.9499
_cell_length_c 7.9499
_cell_angle_alpha 90.00
_cell_angle_beta 90.00
_cell_angle_gamma 90.00
_space_group_name_H-M_alt 'F -4 3 m'
_space_group_IT_number 216
_space_group_name_Hall 'F -4 2 3'
loop_
_atom_site_label
_atom_site_fract_x
_atom_site_fract_y
_atom_site_fract_z
_atom_site_occupancy
Eu1 0.0000 0.0000 0.0000 1
Pu1 0.2500 0.2500 0.2500 1
Al1 0.1243 0.1243 0.6243 1
```

Results
Energy of formation from the pure elements ... -0.32 eV/atom

---

No. 3
## EuPuAlTl (GGA-PBE)

Data for a geometry-optimized EuPuAlTl structure.

```
data_EuPuAlTl
_chemical_formula_sum 'Eu4 Pu4 Al4 Tl4'
_cell_length_a 7.6356
_cell_length_b 7.6356
_cell_length_c 7.6356
_cell_angle_alpha 90.00
_cell_angle_beta 90.00
_cell_angle_gamma 90.00
_space_group_name_H-M_alt 'F -4 3 m'
_space_group_IT_number 216
_space_group_name_Hall 'F -4 2 3'
loop_
_atom_site_label
_atom_site_fract_x
_atom_site_fract_y
_atom_site_fract_z
_atom_site_occupancy
Eu1 0.0000 0.0000 0.0000 1
Pu1 0.0000 0.0000 0.5000 1
Al1 0.2500 0.2500 0.7500 1
Tl1 0.2500 0.2500 0.2500 1
```

Results
Energy of formation from the pure elements ... -0.09 eV/atom

---

No. 4
## RbEu2Al (GGA-PBE)

Data for a geometry-optimized RbEu2Al structure.

```
data_RbEu2Al
_chemical_formula_sum 'Rb1 Eu2 Al1'
_cell_length_a 3.9395
_cell_length_b 3.9395
_cell_length_c 10.9203
_cell_angle_alpha 90.00
_cell_angle_beta 90.00
_cell_angle_gamma 90.00
_space_group_name_H-M_alt 'P 4/m m m'
_space_group_IT_number 123
_space_group_name_Hall '-P 4 2'
loop_
_atom_site_label
_atom_site_fract_x
_atom_site_fract_y
_atom_site_fract_z
_atom_site_occupancy
Rb1 0.0000 0.0000 0.0000 1
Eu1 0.5000 0.5000 0.3398 1
Al1 0.0000 0.0000 0.5000 1
```

Results
Energy of formation from the pure elements ... 0.00 eV/atom

---

No. 5
## EuAl2Rh (GGA-PBE)

Data for a geometry-optimized EuAl2Rh structure.

```
data_EuAl2Rh
_chemical_formula_sum 'Eu3 Al6 Rh3'
_cell_length_a 4.2640
_cell_length_b 4.2640
_cell_length_c 16.4663
_cell_angle_alpha 90.00
_cell_angle_beta 90.00
_cell_angle_gamma 120.00
_space_group_name_H-M_alt 'R -3 m'
_space_group_IT_number 166
_space_group_name_Hall '-R 3 2"'
loop_
_atom_site_label
_atom_site_fract_x
_atom_site_fract_y
_atom_site_fract_z
_atom_site_occupancy
Eu1 0.0000 0.0000 0.0000 1
Al1 0.0000 0.0000 0.2013 1
Rh1 0.0000 0.0000 0.5000 1
```

Results
Energy of formation from the pure elements ... -0.64 eV/atom

---

No. 6
## EuAl2Rh (GGA-PBE)

Data for a geometry-optimized EuAl2Rh structure.

```
data_EuAl2Rh
_chemical_formula_sum 'Eu1 Al2 Rh1'
_cell_length_a 3.1549
_cell_length_b 3.1549
_cell_length_c 7.5944
_cell_angle_alpha 90.00
_cell_angle_beta 90.00
_cell_angle_gamma 90.00
_space_group_name_H-M_alt 'P 4/m m m'
_space_group_IT_number 123
_space_group_name_Hall '-P 4 2'
loop_
_atom_site_label
_atom_site_fract_x
_atom_site_fract_y
_atom_site_fract_z
_atom_site_occupancy
Eu1 0.0000 0.0000 0.0000 1
Al1 0.5000 0.5000 0.3171 1
Rh1 0.0000 0.0000 0.5000 1
```

Results
Energy of formation from the pure elements ... -0.57 eV/atom

---

No. 7
## EuAl3Rh (GGA-PBE)

Data for a geometry-optimized EuAl3Rh structure.

```
data_EuAl3Rh
_chemical_formula_sum 'Eu1 Al3 Rh1'
_cell_length_a 4.7343
_cell_length_b 4.7343
_cell_length_c 4.7343
_cell_angle_alpha 90.00
_cell_angle_beta 90.00
_cell_angle_gamma 90.00
_space_group_name_H-M_alt 'P m -3 m'
_space_group_IT_number 221
_space_group_name_Hall '-P 4 2 3'
loop_
_atom_site_label
_atom_site_fract_x
_atom_site_fract_y
_atom_site_fract_z
_atom_site_occupancy
Eu1 0.0000 0.0000 0.0000 1
Al1 0.0000 0.5000 0.5000 1
Rh1 0.5000 0.5000 0.5000 1
```

Results
Energy of formation from the pure elements ... -0.51 eV/atom

---

No. 8
## EuAlRh (GGA-PBE)

Data for a geometry-optimized EuAlRh structure.

```
data_EuAlRh
_chemical_formula_sum 'Eu1 Al1 Rh1'
_cell_length_a 4.2436
_cell_length_b 4.2436
_cell_length_c 4.3667
_cell_angle_alpha 90.00
_cell_angle_beta 90.00
_cell_angle_gamma 120.00
_space_group_name_H-M_alt 'P -6 m 2'
_space_group_IT_number 187
_space_group_name_Hall 'P -6 2'
loop_
_atom_site_label
_atom_site_fract_x
_atom_site_fract_y
_atom_site_fract_z
_atom_site_occupancy
Eu1 0.0000 0.0000 0.0000 1
Al1 0.6667 0.3333 0.5000 1
Rh1 0.3333 0.6667 0.5000 1
```

Results
Energy of formation from the pure elements ... -0.58 eV/atom